# PmSn2Au3 (PBE, optimized geometry)
data_PmSn2Au3
_symmetry_space_group_name_H-M 'P 1'
_symmetry_Int_Tables_number 1
_symmetry_space_group_name_Hall 'P 1'
_cell_length_a 4.836
_cell_length_b 7.826
_cell_length_c 8.705
_cell_angle_alpha 116.72
_cell_angle_beta 106.13
_cell_angle_gamma 90.00
loop_
_atom_site_label
_atom_site_fract_x
_atom_site_fract_y
_atom_site_fract_z
Au1 0.000 0.676 0.000
Au2 0.313 0.539 0.626
Au3 0.687 0.461 0.374
Au4 0.313 0.088 0.626
Au5 0.687 0.912 0.374
Au6 0.000 0.324 0.000
Sn1 0.823 0.323 0.647
Sn2 0.177 0.677 0.353
Sn3 0.500 0.817 0.000
Sn4 0.500 0.183 0.000
Pm1 0.138 0.138 0.275
Pm2 0.862 0.862 0.725
# - ΔE_f (meV per atom) = -497
# - space-group type = Immm (71)
# - M_tot (μB per atom) = 0.000